# NpInFeTc, optimized geometry, DFT PBE
data_NpInFeTc
_symmetry_space_group_name_H-M 'F -4 3 m'
_symmetry_Int_Tables_number 216
_symmetry_space_group_name_Hall 'F -4 2 3'
_cell_length_a 6.542
_cell_length_b 6.542
_cell_length_c 6.542
_cell_angle_alpha 90.00
_cell_angle_beta 90.00
_cell_angle_gamma 90.00
loop_
_atom_site_label
_atom_site_fract_x
_atom_site_fract_y
_atom_site_fract_z
Np1 0.000 0.000 0.000
In1 0.000 0.000 0.500
Fe1 0.250 0.250 0.250
Tc1 0.250 0.250 0.750
# **E_form**: 0.170 eV/atom